Entry 1:
PrY3Ag: optimized geometry, GGA-PBE. Values from VASP.

Results
* space group: C2/m (12)
* calculated formation energy: 0.2 eV/f.u.

Structure (Quantum ESPRESSO input):
```
&SYSTEM
  ibrav = 0, nat = 10, ntyp = 3
/
ATOMIC_SPECIES
Pr 140.91 Pr.upf
Y 88.91 Y.upf
Ag 107.87 Ag.upf
CELL_PARAMETERS angstrom
5.885 -4.246 0.000
5.885 4.246 0.000
-4.438 0.000 6.572
ATOMIC_POSITIONS crystal
Pr 0.085 0.085 0.274
Pr 0.915 0.915 0.726
Y 0.020 0.615 0.293
Y 0.385 0.980 0.707
Y 0.448 0.448 0.690
Y 0.552 0.552 0.310
Y 0.615 0.020 0.293
Y 0.980 0.385 0.707
Ag 0.242 0.242 0.065
Ag 0.758 0.758 0.935
```

=====

Entry 2:
PrY2Ag2: optimized geometry, GGA-PBE. Values from VASP.

Results
* space group: P2_1/m (11)
* calculated formation energy: -1.1 eV/f.u.

Structure (Quantum ESPRESSO input):
```
&SYSTEM
  ibrav = 0, nat = 10, ntyp = 3
/
ATOMIC_SPECIES
Pr 140.91 Pr.upf
Y 88.91 Y.upf
Ag 107.87 Ag.upf
CELL_PARAMETERS angstrom
3.678 0.000 0.000
0.000 5.381 0.000
-1.834 0.000 13.625
ATOMIC_POSITIONS crystal
Pr 0.145 0.250 0.290
Pr 0.855 0.750 0.710
Y 0.047 0.750 0.095
Y 0.234 0.750 0.468
Y 0.766 0.250 0.532
Y 0.953 0.250 0.905
Ag 0.358 0.250 0.716
Ag 0.456 0.750 0.913
Ag 0.544 0.250 0.087
Ag 0.642 0.750 0.284
```

=====

Entry 3:
PrYAg3: optimized geometry, GGA-PBE. Values from VASP.

Results
* space group: Cmcm (63)
* calculated formation energy: -1.3 eV/f.u.

Structure (Quantum ESPRESSO input):
```
&SYSTEM
  ibrav = 0, nat = 10, ntyp = 3
/
ATOMIC_SPECIES
Pr 140.91 Pr.upf
Y 88.91 Y.upf
Ag 107.87 Ag.upf
CELL_PARAMETERS angstrom
1.815 -14.105 0.000
1.815 14.105 0.000
0.000 0.000 4.813
ATOMIC_POSITIONS crystal
Pr 0.075 0.925 0.750
Pr 0.925 0.075 0.250
Y 0.209 0.791 0.250
Y 0.791 0.209 0.750
Ag 0.321 0.679 0.250
Ag 0.378 0.622 0.750
Ag 0.476 0.524 0.750
Ag 0.524 0.476 0.250
Ag 0.622 0.378 0.250
Ag 0.679 0.321 0.750
```

=====

Entry 4:
Pr3YAg2: optimized geometry, GGA-PBE. Values from VASP.

Results
* space group: Pmc2_1 (26)
* polymorph energy (0 for the lowest one): 0 meV/atom
* calculated formation energy: -0.9 eV/f.u.

Structure (Quantum ESPRESSO input):
```
&SYSTEM
  ibrav = 0, nat = 12, ntyp = 3
/
ATOMIC_SPECIES
Pr 140.91 Pr.upf
Y 88.91 Y.upf
Ag 107.87 Ag.upf
CELL_PARAMETERS angstrom
5.269 0.000 0.000
0.000 9.498 0.000
0.000 0.000 7.092
ATOMIC_POSITIONS crystal
Pr 0.000 0.064 0.000
Pr 0.000 0.334 0.350
Pr 0.000 0.666 0.850
Pr 0.000 0.936 0.500
Pr 0.500 0.169 0.666
Pr 0.500 0.831 0.166
Y 0.500 0.439 0.018
Y 0.500 0.561 0.518
Ag 0.000 0.352 0.783
Ag 0.000 0.648 0.283
Ag 0.500 0.158 0.234
Ag 0.500 0.842 0.734
```

=====

Entry 5:
Pr2Y3Ag4: optimized geometry, GGA-PBE. Values from VASP.

Results
* space group: Cmce (64)
* calculated formation energy: -1.5 eV/f.u.

Structure (Quantum ESPRESSO input):
```
&SYSTEM
  ibrav = 0, nat = 18, ntyp = 3
/
ATOMIC_SPECIES
Pr 140.91 Pr.upf
Y 88.91 Y.upf
Ag 107.87 Ag.upf
CELL_PARAMETERS angstrom
3.499 -9.142 0.000
3.499 9.142 0.000
0.000 0.000 7.690
ATOMIC_POSITIONS crystal
Pr 0.096 0.904 0.919
Pr 0.404 0.596 0.419
Pr 0.596 0.404 0.581
Pr 0.904 0.096 0.081
Y 0.000 0.000 0.500
Y 0.009 0.491 0.750
Y 0.491 0.009 0.250
Y 0.500 0.500 0.000
Y 0.509 0.991 0.750
Y 0.991 0.509 0.250
Ag 0.163 0.837 0.515
Ag 0.176 0.324 0.750
Ag 0.324 0.176 0.250
Ag 0.337 0.663 0.015
Ag 0.663 0.337 0.985
Ag 0.676 0.824 0.750
Ag 0.824 0.676 0.250
Ag 0.837 0.163 0.485
```

=====

Entry 6:
Pr5Y3Ag2: optimized geometry, GGA-PBE. Values from VASP.

Results
* space group: Ibam (72)
* calculated formation energy: 1.6 eV/f.u.

Structure (Quantum ESPRESSO input):
```
&SYSTEM
  ibrav = 0, nat = 20, ntyp = 3
/
ATOMIC_SPECIES
Pr 140.91 Pr.upf
Y 88.91 Y.upf
Ag 107.87 Ag.upf
CELL_PARAMETERS angstrom
-6.849 7.141 3.422
6.849 -7.141 3.422
6.849 7.141 -3.422
ATOMIC_POSITIONS crystal
Pr 0.178 0.115 0.292
Pr 0.250 0.003 0.753
Pr 0.250 0.250 0.000
Pr 0.250 0.497 0.247
Pr 0.322 0.615 0.937
Pr 0.678 0.385 0.063
Pr 0.750 0.503 0.753
Pr 0.750 0.750 0.000
Pr 0.750 0.997 0.247
Pr 0.822 0.885 0.708
Y 0.215 0.381 0.597
Y 0.250 0.750 0.500
Y 0.285 0.881 0.166
Y 0.715 0.119 0.834
Y 0.750 0.250 0.500
Y 0.785 0.619 0.403
Ag 0.125 0.619 0.744
Ag 0.375 0.119 0.494
Ag 0.625 0.881 0.506
Ag 0.875 0.381 0.256
```

=====

Entry 7:
PrY5Ag6: optimized geometry, GGA-PBE. Values from VASP.

Results
* space group: Cmmm (65)
* calculated formation energy: -3.8 eV/f.u.

Structure (Quantum ESPRESSO input):
```
&SYSTEM
  ibrav = 0, nat = 12, ntyp = 3
/
ATOMIC_SPECIES
Pr 140.91 Pr.upf
Y 88.91 Y.upf
Ag 107.87 Ag.upf
CELL_PARAMETERS angstrom
2.603 -7.823 0.000
2.603 7.823 0.000
0.000 0.000 7.287
ATOMIC_POSITIONS crystal
Pr 0.000 0.000 0.000
Y 0.000 0.000 0.500
Y 0.332 0.668 0.000
Y 0.334 0.666 0.500
Y 0.666 0.334 0.500
Y 0.668 0.332 0.000
Ag 0.170 0.830 0.254
Ag 0.170 0.830 0.746
Ag 0.500 0.500 0.260
Ag 0.500 0.500 0.740
Ag 0.830 0.170 0.254
Ag 0.830 0.170 0.746
```

=====

Entry 8:
PrY4Ag2: optimized geometry, GGA-PBE. Values from VASP.

Results
* space group: R-3m (166)
* calculated formation energy: 1.1 eV/f.u.

Structure (Quantum ESPRESSO input):
```
&SYSTEM
  ibrav = 0, nat = 7, ntyp = 3
/
ATOMIC_SPECIES
Pr 140.91 Pr.upf
Y 88.91 Y.upf
Ag 107.87 Ag.upf
CELL_PARAMETERS angstrom
2.487 1.436 10.370
-2.487 1.436 10.370
0.000 -2.872 10.370
ATOMIC_POSITIONS crystal
Pr 0.000 0.000 0.000
Y 0.201 0.201 0.201
Y 0.397 0.397 0.397
Y 0.603 0.603 0.603
Y 0.799 0.799 0.799
Ag 0.102 0.102 0.102
Ag 0.898 0.898 0.898
```

=====

Entry 9:
PrY2Ag: optimized geometry, GGA-PBE. Values from VASP.

Results
* space group: R-3m (166)
* polymorph energy (0 for the lowest one): 305 meV/atom
* calculated formation energy: 0.7 eV/f.u.

Structure (Quantum ESPRESSO input):
```
&SYSTEM
  ibrav = 0, nat = 4, ntyp = 3
/
ATOMIC_SPECIES
Pr 140.91 Pr.upf
Y 88.91 Y.upf
Ag 107.87 Ag.upf
CELL_PARAMETERS angstrom
1.747 1.009 11.549
-1.747 1.009 11.549
0.000 -2.017 11.549
ATOMIC_POSITIONS crystal
Pr 0.000 0.000 0.000
Y 0.099 0.099 0.099
Y 0.901 0.901 0.901
Ag 0.500 0.500 0.500
```

=====

Entry 10:
Pr3YAg2: optimized geometry, GGA-PBE. Values from VASP.

Results
* space group: P2/m (10)
* polymorph energy (0 for the lowest one): 57 meV/atom
* calculated formation energy: -0.6 eV/f.u.

Structure (Quantum ESPRESSO input):
```
&SYSTEM
  ibrav = 0, nat = 6, ntyp = 3
/
ATOMIC_SPECIES
Pr 140.91 Pr.upf
Y 88.91 Y.upf
Ag 107.87 Ag.upf
CELL_PARAMETERS angstrom
5.552 0.000 0.000
0.000 3.752 0.000
-2.749 0.000 8.405
ATOMIC_POSITIONS crystal
Pr 0.000 0.000 0.000
Pr 0.322 0.000 0.643
Pr 0.678 0.000 0.357
Y 0.500 0.500 0.000
Ag 0.154 0.500 0.308
Ag 0.846 0.500 0.692
```

=====

Entry 11:
Pr4Y5Ag: optimized geometry, GGA-PBE. Values from VASP.

Results
* space group: P4/mmm (123)
* calculated formation energy: -0.5 eV/f.u.

Structure (Quantum ESPRESSO input):
```
&SYSTEM
  ibrav = 0, nat = 10, ntyp = 3
/
ATOMIC_SPECIES
Pr 140.91 Pr.upf
Y 88.91 Y.upf
Ag 107.87 Ag.upf
CELL_PARAMETERS angstrom
3.646 0.000 0.000
0.000 3.646 0.000
0.000 0.000 24.278
ATOMIC_POSITIONS crystal
Pr 0.000 0.000 0.106
Pr 0.000 0.000 0.317
Pr 0.000 0.000 0.683
Pr 0.000 0.000 0.894
Y 0.500 0.500 0.000
Y 0.500 0.500 0.212
Y 0.500 0.500 0.424
Y 0.500 0.500 0.576
Y 0.500 0.500 0.788
Ag 0.000 0.000 0.500
```

=====

Entry 12:
Pr2YAg: optimized geometry, GGA-PBE. Values from VASP.

Results
* space group: R-3m (166)
* polymorph energy (0 for the lowest one): 86 meV/atom
* calculated formation energy: 0.0 eV/f.u.

Structure (Quantum ESPRESSO input):
```
&SYSTEM
  ibrav = 0, nat = 4, ntyp = 3
/
ATOMIC_SPECIES
Pr 140.91 Pr.upf
Y 88.91 Y.upf
Ag 107.87 Ag.upf
CELL_PARAMETERS angstrom
1.836 1.060 10.767
-1.836 1.060 10.767
0.000 -2.120 10.767
ATOMIC_POSITIONS crystal
Pr 0.242 0.242 0.242
Pr 0.758 0.758 0.758
Y 0.000 0.000 0.000
Ag 0.500 0.500 0.500
```